*w*
The following is a PBE-GGA calculation of La3Mg2 after structural relaxation, from Alexandria.

POSCAR file:
```
La3Mg2
1.0
3.9474 0.0000 0.0000
0.0000 3.9474 0.0000
-1.9737 -1.9737 10.4014
La Mg
3 2
direct
0.0000 0.0000 0.0000
0.1898 0.1898 0.3796
0.8102 0.8102 0.6204
0.4046 0.4046 0.8093
0.5954 0.5954 0.1907
```

Output
Symmetry: I4/mmm (139)
ρ (g/cm3): 4.77
D(E_F) (states/eV per atom): 1.220
Total magnetization (μB per cell): 0.01

*x*
The following is a PBE-GGA calculation of La3Mg2 after structural relaxation, from Alexandria.

POSCAR file:
```
La3Mg2
1.0
2.7118 -4.6970 0.0000
2.7118 4.6970 0.0000
0.0000 0.0000 6.7599
La Mg
3 2
direct
0.0000 0.0000 0.0000
0.6667 0.3333 0.6237
0.3333 0.6667 0.3763
0.6667 0.3333 0.1281
0.3333 0.6667 0.8719
```

Output
Symmetry: P-3m1 (164)
ρ (g/cm3): 4.49
D(E_F) (states/eV per atom): 1.452
Total magnetization (μB per cell): 0.00

*w* ends up most stable, edging out the next structure by 195 meV per atom.